P3C: optimized geometry, PBE.

abc: 3.849 2.769 11.629
angles: 90.00 90.00 90.00
Fractional positions:
P1 0.000 0.000 0.417
P2 0.500 0.000 0.544
P3 0.000 0.000 0.677
P4 0.500 0.500 0.044
P5 0.000 0.500 0.917
P6 0.000 0.500 0.177
C1 0.000 0.000 0.267
C2 0.000 0.500 0.767

Summary:
Energy relative to the elements ... 0.452 eV/atom
D(E_F) ... 2.1 states/eV/cell
M_tot ... 0.00 μB per formula unit
Volume ... 15.49 Å³ per atom